Entry 1:
This record from Alexandria describes crystalline Mn2Be2Cd at its relaxed geometry. The functional is PBE-GGA.

## Properties
Spin magnetization ... 10.19 Bohr magnetons per cell
Energy of formation ... 0.11 eV per atom
Total energy ... -5.24 eV/atom
Calculated density ... 6.59 g cm⁻³

Cell: 6.5532 6.5532 2.8209 Å, 90.00 90.00 90.00°
Closest atoms and distances in Å follow each position.
Fractional positions:
Be1 0.3833 0.8833 0.0000  1 Be 2.16, 4 Mn 2.37
Be2 0.8833 0.6167 0.0000  1 Be 2.16, 4 Mn 2.37
Be3 0.6167 0.1167 0.0000  1 Be 2.16, 4 Mn 2.37
Be4 0.1167 0.3833 0.0000  1 Be 2.16, 4 Mn 2.37
Mn1 0.1697 0.6697 0.5000  6 Be 2.37-2.43
Mn2 0.6697 0.8303 0.5000  6 Be 2.37-2.43
Mn3 0.8303 0.3303 0.5000  6 Be 2.37-2.43
Mn4 0.3303 0.1697 0.5000  6 Be 2.37-2.43
Cd1 0.0000 0.0000 0.0000  4 Be 2.63, 8 Mn 2.81, 2 Cd 2.82
Cd2 0.5000 0.5000 0.0000  4 Be 2.63, 8 Mn 2.81, 2 Cd 2.82

***

Entry 2:
This record from Alexandria describes crystalline Pm2SmEr3Bi6 at its relaxed geometry. The functional is PBE-GGA.

## Properties
Spin magnetization ... 0.00 Bohr magnetons per cell
Energy of formation ... -0.87 eV per atom
Total energy ... -5.14 eV/atom
Calculated density ... 9.37 g cm⁻³

Cell: 4.5117 9.0149 10.0779 Å, 102.78 102.93 90.00°
Closest atoms and distances in Å follow each position.
Fractional positions:
Pm1 0.8334 0.6669 0.6667  6 Bi 3.23
Pm2 0.1666 0.3331 0.3333  6 Bi 3.23
Sm1 0.5000 0.0000 0.0000  6 Bi 3.22
Er1 0.5000 0.5000 0.0000  6 Bi 3.15-3.16
Er2 0.8332 0.1667 0.6665  6 Bi 3.15-3.16
Er3 0.1668 0.8333 0.3335  6 Bi 3.15-3.16
Bi1 0.3317 0.9221 0.6633  3 Er 3.15-3.16, 1 Sm 3.22, 2 Pm 3.23
Bi2 0.6646 0.5882 0.3292  3 Er 3.15, 3 Pm 3.23
Bi3 0.6683 0.0779 0.3367  3 Er 3.15-3.16, 1 Sm 3.22, 2 Pm 3.23
Bi4 0.9979 0.2541 0.9959  3 Er 3.15-3.16, 2 Sm 3.22, 1 Pm 3.23
Bi5 0.0021 0.7459 0.0041  3 Er 3.15-3.16, 2 Sm 3.22, 1 Pm 3.23
Bi6 0.3354 0.4118 0.6708  3 Er 3.15, 3 Pm 3.23

***

Entry 3:
This record from Alexandria describes crystalline TiPtRh3 at its relaxed geometry. The functional is PBE-GGA.

## Properties
Spin magnetization ... 0.00 Bohr magnetons per cell
Energy of formation ... -0.49 eV per atom
Total energy ... -7.69 eV/atom
Calculated density ... 12.49 g cm⁻³
Energy relative to the lowest polymorph listed for this composition ... 0.07 eV/f.u.

Cell: 3.8683 5.4842 8.3056 Å, 120.16 103.47 90.00°
Closest atoms and distances in Å follow each position.
Fractional positions:
Ti1 0.6064 0.6671 0.2128  9 Rh 2.67-2.81, 2 Pt 2.67, 1 Ti 2.94
Ti2 0.3936 0.3329 0.7872  9 Rh 2.67-2.81, 2 Pt 2.67, 1 Ti 2.94
Pt1 0.8050 0.4484 0.6100  2 Ti 2.67, 8 Rh 2.71-2.84, 2 Pt 2.87
Pt2 0.1950 0.5516 0.3900  2 Ti 2.67, 8 Rh 2.71-2.84, 2 Pt 2.87
Rh1 0.9988 0.2483 0.9976  7 Rh 2.71-2.76, 1 Pt 2.71, 4 Ti 2.77-2.81
Rh2 0.0012 0.7517 0.0024  7 Rh 2.71-2.76, 1 Pt 2.71, 4 Ti 2.77-2.81
Rh3 0.4004 0.8514 0.8007  2 Ti 2.70-2.79, 7 Rh 2.72-2.76, 3 Pt 2.74-2.84
Rh4 0.5996 0.1486 0.1993  2 Ti 2.70-2.79, 7 Rh 2.72-2.76, 3 Pt 2.74-2.84
Rh5 0.1969 0.0492 0.3939  3 Ti 2.67-2.72, 5 Rh 2.71-2.82, 4 Pt 2.71-2.77
Rh6 0.8031 0.9508 0.6061  3 Ti 2.67-2.72, 5 Rh 2.71-2.82, 4 Pt 2.71-2.77

***

Entry 4:
This record from Alexandria describes crystalline SrCa2Al2P4 at its relaxed geometry. The functional is PBE-GGA.

## Properties
Spin magnetization ... 0.00 Bohr magnetons per cell
Energy of formation ... -0.90 eV per atom
Total energy ... -4.77 eV/atom
Calculated density ... 2.60 g cm⁻³

Cell: 3.8995 8.1247 8.3682 Å, 120.20 103.47 90.00°
Closest atoms and distances in Å follow each position.
Fractional positions:
Sr1 0.0000 0.0000 0.0000  6 P 3.06-3.20
Ca1 0.1118 0.5780 0.2236  6 P 2.96-3.13, 1 Ca 3.17
Ca2 0.8882 0.4220 0.7764  6 P 2.96-3.13, 1 Ca 3.17
Al1 0.6718 0.9677 0.3437  4 P 2.31-2.48
Al2 0.3282 0.0323 0.6563  4 P 2.31-2.48
P1 0.2275 0.1792 0.4550  3 Al 2.44-2.48
P2 0.7725 0.8208 0.5450  3 Al 2.44-2.48
P3 0.5124 0.7237 0.0248  1 Al 2.31
P4 0.4876 0.2763 0.9752  1 Al 2.31

***

Entry 5:
This record from Alexandria describes crystalline Cu2Ru at its relaxed geometry. The functional is PBE-GGA.

## Properties
Spin magnetization ... 7.11 Bohr magnetons per cell
Energy of formation ... 1.18 eV per atom
Total energy ... -4.64 eV/atom
Calculated density ... 7.72 g cm⁻³
Energy relative to the lowest polymorph listed for this composition ... 3.12 eV/f.u.

Cell: 5.8126 5.8126 5.8126 Å, 90.00 90.00 90.00°
Closest atoms and distances in Å follow each position.
Fractional positions:
Ru1 0.0000 0.0000 0.0000  6 Cu 2.42
Ru2 0.0000 0.5000 0.5000  6 Cu 2.42
Ru3 0.5000 0.0000 0.5000  6 Cu 2.42
Ru4 0.5000 0.5000 0.0000  6 Cu 2.42
Cu1 0.1192 0.6192 0.8808  1 Cu 2.40, 3 Ru 2.42
Cu2 0.1192 0.8808 0.3808  1 Cu 2.40, 3 Ru 2.42
Cu3 0.3808 0.1192 0.8808  1 Cu 2.40, 3 Ru 2.42
Cu4 0.3808 0.3808 0.3808  1 Cu 2.40, 3 Ru 2.42
Cu5 0.6192 0.6192 0.6192  1 Cu 2.40, 3 Ru 2.42
Cu6 0.6192 0.8808 0.1192  1 Cu 2.40, 3 Ru 2.42
Cu7 0.8808 0.1192 0.6192  1 Cu 2.40, 3 Ru 2.42
Cu8 0.8808 0.3808 0.1192  1 Cu 2.40, 3 Ru 2.42

***

Entry 6:
This record from Alexandria describes crystalline SrSi2Rh at its relaxed geometry. The functional is PBE-GGA.

## Properties
Spin magnetization ... 0.00 Bohr magnetons per cell
Total energy ... -5.26 eV/atom
E_form (uncorrected) ... -1.14 eV per formula unit
Calculated density ... 5.16 g cm⁻³

Cell: 4.2049 3.0730 6.1453 Å, 89.95 90.00 90.00°
Closest atoms and distances in Å follow each position.
Fractional positions:
Rh1 0.5000 0.7500 0.7500  4 Si 2.43
Si1 0.0000 0.7508 0.9468  1 Si 2.42, 2 Rh 2.43
Si2 0.0000 0.7492 0.5532  1 Si 2.42, 2 Rh 2.43
Sr1 0.5000 0.2500 0.2500  2 Sr 3.07, 8 Si 3.20, 4 Rh 3.43-3.44

***

Entry 7:
This record from Alexandria describes crystalline PmSmDy3Ho at its relaxed geometry. The functional is PBE-GGA.

## Properties
Spin magnetization ... 0.00 Bohr magnetons per cell
Energy of formation ... 0.19 eV per atom
Total energy ... -4.45 eV/atom
Calculated density ... 8.03 g cm⁻³

Cell: 5.6618 10.2889 6.9984 Å, 90.19 90.00 105.97°
Closest atoms and distances in Å follow each position.
Fractional positions:
Pm1 0.3536 0.7071 0.9715  1 Ho 3.03, 2 Dy 3.17-3.28
Pm2 0.6464 0.2929 0.0285  1 Ho 3.03, 2 Dy 3.17-3.28
Sm1 0.0540 0.1081 0.2600  3 Dy 3.20-3.28
Sm2 0.9460 0.8919 0.7400  3 Dy 3.20-3.28
Dy1 0.8348 0.6696 0.2636  2 Ho 3.44, 2 Pm 3.51, 4 Dy 3.60-3.72
Dy2 0.7802 0.5605 0.7538  3 Pm 3.28-3.52, 1 Sm 3.28, 3 Ho 3.30-3.50, 3 Dy 3.60-3.63
Dy3 0.4783 0.9565 0.2573  1 Pm 3.17, 2 Sm 3.20, 1 Ho 3.21, 1 Dy 3.50
Dy4 0.2198 0.4395 0.2462  3 Pm 3.28-3.52, 1 Sm 3.28, 3 Ho 3.30-3.50, 3 Dy 3.60-3.63
Dy5 0.5217 0.0435 0.7427  1 Pm 3.17, 2 Sm 3.20, 1 Ho 3.21, 1 Dy 3.50
Dy6 0.1652 0.3304 0.7364  2 Ho 3.44, 2 Pm 3.51, 4 Dy 3.60-3.72
Ho1 0.6493 0.2986 0.4611  1 Pm 3.03, 2 Dy 3.21-3.30
Ho2 0.3507 0.7014 0.5389  1 Pm 3.03, 2 Dy 3.21-3.30

***

Entry 8:
This record from Alexandria describes crystalline ZrCoRu at its relaxed geometry. The functional is PBE-GGA.

## Properties
Spin magnetization ... 1.57 Bohr magnetons per cell
Energy of formation ... 0.12 eV per atom
Total energy ... -8.19 eV/atom
Calculated density ... 8.06 g cm⁻³
Energy relative to the lowest polymorph listed for this composition ... 0.76 eV/f.u.

Cell: 4.1839 4.1839 4.1839 Å, 60.00 60.00 60.00°
Closest atoms and distances in Å follow each position.
Fractional positions:
Co1 0.7500 0.7500 0.7500  4 Ru 2.56, 4 Zr 2.56
Ru1 0.0000 0.0000 0.0000  4 Co 2.56
Zr1 0.5000 0.5000 0.5000  4 Co 2.56

***

Entry 9:
This record from Alexandria describes crystalline K3InC at its relaxed geometry. The functional is PBE-GGA.

## Properties
Spin magnetization ... 0.00 Bohr magnetons per cell
Energy of formation ... 1.04 eV per atom
Total energy ... -2.01 eV/atom
Calculated density ... 2.04 g cm⁻³
Energy relative to the lowest polymorph listed for this composition ... 0.00 eV/f.u.

Cell: 5.8315 5.8315 5.8315 Å, 90.00 90.00 90.00°
Closest atoms and distances in Å follow each position.
Fractional positions:
K1 0.0000 0.5000 0.0000  2 C 2.92
K2 0.0000 0.0000 0.5000  2 C 2.92
K3 0.5000 0.0000 0.0000  2 C 2.92
C1 0.0000 0.0000 0.0000  6 K 2.92
In1 0.5000 0.5000 0.5000  12 K 4.12

***

Entry 10:
This record from Alexandria describes crystalline Ac2TbSbO8 at its relaxed geometry. The functional is PBE-GGA.

## Properties
Spin magnetization ... 0.00 Bohr magnetons per cell
Total energy ... -7.17 eV/atom
E_form (uncorrected) ... -29.43 eV per formula unit
Calculated density ... 7.76 g cm⁻³

Cell: 4.5338 5.6286 7.2459 Å, 90.00 90.00 93.27°
Closest atoms and distances in Å follow each position.
Fractional positions:
Ac1 0.5000 0.5000 0.7532  2 O 2.34
Ac2 0.5000 0.5000 0.2468  2 O 2.34
Tb1 0.0000 0.0000 0.5000  6 O 2.30-2.51
Sb1 0.0000 0.0000 0.0000  6 O 2.02
O1 0.0460 0.7655 0.2075  1 Sb 2.02
O2 0.5695 0.8851 0.9999  1 O 1.47
O3 0.9539 0.2346 0.2074  1 Sb 2.02
O4 0.9540 0.2345 0.7925  1 Sb 2.02
O5 0.4305 0.1149 0.0001  1 O 1.47
O6 0.0461 0.7654 0.7926  1 Sb 2.02
O7 0.5769 0.7549 0.5000  1 Tb 2.30, 2 Ac 2.34
O8 0.4231 0.2451 0.5000  1 Tb 2.30, 2 Ac 2.34

***

Entry 11:
This record from Alexandria describes crystalline TbPr4Sm at its relaxed geometry. The functional is PBE-GGA.

## Properties
Spin magnetization ... 0.00 Bohr magnetons per cell
Energy of formation ... 0.02 eV per atom
Total energy ... -4.73 eV/atom
Calculated density ... 6.86 g cm⁻³
Energy relative to the lowest polymorph listed for this composition ... 0.00 eV/f.u.

Cell: 8.2166 8.2166 5.2027 Å, 90.01 90.00 36.98°
Closest atoms and distances in Å follow each position.
Fractional positions:
Tb1 0.0000 0.0000 0.0000  8 Pr 3.66-3.67, 4 Sm 3.68
Pr1 0.3346 0.3346 0.0002  2 Sm 3.66, 2 Tb 3.66-3.67, 8 Pr 3.68-3.71
Pr2 0.6654 0.6654 0.9998  2 Sm 3.66, 2 Tb 3.66-3.67, 8 Pr 3.68-3.71
Pr3 0.8351 0.8352 0.4997  2 Tb 3.66, 2 Sm 3.66, 8 Pr 3.68-3.72
Pr4 0.1649 0.1648 0.5003  2 Tb 3.66, 2 Sm 3.66, 8 Pr 3.68-3.72
Sm1 0.5000 0.5000 0.5000  8 Pr 3.66, 4 Tb 3.68

***

Entry 12:
This record from Alexandria describes crystalline Ba2Sn3Hg2 at its relaxed geometry. The functional is PBE-GGA.

## Properties
Spin magnetization ... 0.00 Bohr magnetons per cell
Energy of formation ... -0.50 eV per atom
Total energy ... -2.85 eV/atom
Calculated density ... 7.42 g cm⁻³
Energy relative to the lowest polymorph listed for this composition ... 0.00 eV/f.u.

Cell: 5.1468 8.0700 11.4162 Å, 90.00 103.03 90.00°
Closest atoms and distances in Å follow each position.
Fractional positions:
Ba1 0.1618 0.2500 0.3237  6 Hg 3.58-3.72, 6 Sn 3.71-3.72
Ba2 0.8382 0.7500 0.6763  6 Hg 3.58-3.72, 6 Sn 3.71-3.72
Ba3 0.9489 0.2500 0.8977  9 Sn 3.66-3.85
Ba4 0.0511 0.7500 0.1023  9 Sn 3.66-3.85
Sn1 0.2182 0.7500 0.4363  6 Hg 3.11-3.20
Sn2 0.7818 0.2500 0.5637  6 Hg 3.11-3.20
Sn3 0.5599 0.4282 0.1198  2 Sn 2.88-2.91, 1 Hg 3.00
Sn4 0.4401 0.5718 0.8802  2 Sn 2.88-2.91, 1 Hg 3.00
Sn5 0.4401 0.9282 0.8802  2 Sn 2.88-2.91, 1 Hg 3.00
Sn6 0.5599 0.0718 0.1198  2 Sn 2.88-2.91, 1 Hg 3.00
Hg1 0.6876 0.9502 0.3751  4 Sn 3.00-3.20, 1 Hg 3.23
Hg2 0.3124 0.0498 0.6249  4 Sn 3.00-3.20, 1 Hg 3.23
Hg3 0.3124 0.4502 0.6249  4 Sn 3.00-3.20, 1 Hg 3.23
Hg4 0.6876 0.5498 0.3751  4 Sn 3.00-3.20, 1 Hg 3.23

***

The highest spin magnetization belongs to which entry?
Mn2Be2Cd